1.
VASP calculation (GGA-PBE) on an optimized crystal structure of PrCdAg2.

a = 5.0818 Å, b = 5.0818 Å, c = 7.1666 Å
α = 90.00°, β = 90.00°, γ = 90.00°
Closest atoms and distances in Å follow each position.
Space group I4/mmm (No. 139)
Inequivalent atoms, fractional coordinates:
1 Pr 0.0000 0.0000 0.0000  8 Ag 3.11
2 Cd 0.0000 0.0000 0.5000  8 Ag 3.11
3 Ag 0.0000 0.5000 0.2500  4 Cd 3.11, 4 Pr 3.11

Values from the calculation:
Energy relative to the elements, eV per atom: -0.2579



2.
VASP calculation (GGA-PBE) on an optimized crystal structure of LiNdErAu.

a = 7.3154 Å, b = 7.3154 Å, c = 7.3154 Å
α = 90.00°, β = 90.00°, γ = 90.00°
Closest atoms and distances in Å follow each position.
Space group F-43m (No. 216)
Inequivalent atoms, fractional coordinates:
1 Li 0.0000 0.0000 0.0000  4 Nd 3.17, 4 Er 3.17
2 Nd 0.2500 0.2500 0.7500  4 Li 3.17, 4 Au 3.17
3 Er 0.2500 0.2500 0.2500  4 Li 3.17, 4 Au 3.17
4 Au 0.0000 0.0000 0.5000  4 Er 3.17, 4 Nd 3.17

Values from the calculation:
Energy relative to the elements, eV per atom: -0.3687



3.
VASP calculation (GGA-PBE) on an optimized crystal structure of CdReF2.

a = 2.8206 Å, b = 2.8206 Å, c = 26.6054 Å
α = 90.00°, β = 90.00°, γ = 120.00°
Closest atoms and distances in Å follow each position.
Space group R-3m (No. 166, hexagonal axes)
Inequivalent atoms, fractional coordinates:
1 Cd 0.0000 0.0000 0.0000  6 Cd 2.82, 6 F 2.99
2 Re 0.0000 0.0000 0.5000  2 F 1.93
3 F 0.0000 0.0000 0.4274  1 Re 1.93

Values from the calculation:
Formation energy (no corrections), meV per atom: -992



4.
VASP calculation (GGA-PBE) on an optimized crystal structure of RePPt.

a = 2.9591 Å, b = 4.9177 Å, c = 12.4195 Å
α = 90.00°, β = 90.00°, γ = 90.00°
Closest atoms and distances in Å follow each position.
Space group Fmm2 (No. 42)
Inequivalent atoms, fractional coordinates:
1 Re 0.0000 0.0000 0.0000  2 P 2.32
2 P 0.0000 0.0000 0.6442  2 Re 2.32, 2 Pt 2.47
3 Pt 0.0000 0.0000 0.3035  2 P 2.47

Values from the calculation:
Energy relative to the elements, eV per atom: 0.3245



5.
VASP calculation (GGA-PBE) on an optimized crystal structure of LaYGe.

a = 9.6563 Å, b = 6.3812 Å, c = 7.2239 Å
α = 90.00°, β = 130.60°, γ = 90.00°
Closest atoms and distances in Å follow each position.
Space group C2/m (No. 12)
Inequivalent atoms, fractional coordinates:
1 La 0.1770 0.0000 0.0123  4 Ge 3.25-3.29, 3 La 3.30-3.54, 1 Y 3.63
2 Y 0.1633 0.5000 0.3385  4 Ge 3.03
3 Ge 0.0000 0.2303 0.5000  1 Ge 2.94, 4 Y 3.03, 4 La 3.25-3.29

Values from the calculation:
Energy relative to the elements, eV per atom: -0.6157



6.
VASP calculation (GGA-PBE) on an optimized crystal structure of BaZr2Se.

a = 12.7757 Å, b = 3.3618 Å, c = 5.5435 Å
α = 90.00°, β = 112.66°, γ = 90.00°
Closest atoms and distances in Å follow each position.
Space group C2/m (No. 12)
Inequivalent atoms, fractional coordinates:
1 Ba 0.0000 0.0000 0.0000  4 Se 3.24, 2 Ba 3.36, 2 Zr 3.63
2 Zr 0.1994 0.0000 0.6757  2 Se 2.89, 2 Zr 3.20
3 Se 0.0000 0.5000 0.5000  4 Zr 2.89

Values from the calculation:
Formation energy (no corrections), meV per atom: -268



7.
VASP calculation (GGA-PBE) on an optimized crystal structure of CsSmTe3Au.

a = 4.3689 Å, b = 18.1290 Å, c = 11.4288 Å
α = 90.00°, β = 90.00°, γ = 90.00°
Closest atoms and distances in Å follow each position.
Space group Cmcm (No. 63)
Inequivalent atoms, fractional coordinates:
1 Cs 0.0000 0.2479 0.2500  8 Te 3.87-4.26
2 Sm 0.0000 0.0000 0.0000  6 Te 3.14-3.15
3 Te 0.0000 0.0720 0.7500  2 Au 2.82, 2 Sm 3.14
4 Te 0.0000 0.3804 0.5577  1 Au 2.77
5 Au 0.0000 0.4735 0.7500  4 Te 2.77-2.82

Values from the calculation:
Formation energy (no corrections), meV per atom: -947



8.
VASP calculation (GGA-PBE) on an optimized crystal structure of Be2ZnSe.

a = 2.6810 Å, b = 2.6810 Å, c = 7.9711 Å
α = 90.00°, β = 90.00°, γ = 90.00°
Closest atoms and distances in Å follow each position.
Space group P4mm (No. 99)
Inequivalent atoms, fractional coordinates:
1 Be 0.0000 0.0000 0.0000  4 Be 2.21, 4 Zn 2.47
2 Be 0.5000 0.5000 0.1428  4 Be 2.21
3 Zn 0.5000 0.5000 0.8005  5 Be 2.47-2.73, 4 Zn 2.68
4 Se 0.0000 0.0000 0.4423  4 Se 2.68

Values from the calculation:
Formation energy (no corrections), meV per atom: 375



9.
VASP calculation (GGA-PBE) on an optimized crystal structure of Y3CoW.

a = 5.0342 Å, b = 5.0342 Å, c = 5.0342 Å
α = 90.00°, β = 90.00°, γ = 90.00°
Closest atoms and distances in Å follow each position.
Space group Pm-3m (No. 221)
Inequivalent atoms, fractional coordinates:
1 Y 0.0000 0.0000 0.5000  2 Co 2.52
2 Co 0.0000 0.0000 0.0000  6 Y 2.52
3 W 0.5000 0.5000 0.5000  12 Y 3.56

Values from the calculation:
Energy relative to the elements, eV per atom: 0.7373



10.
VASP calculation (GGA-PBE) on an optimized crystal structure of AcCuAu2.

a = 4.2736 Å, b = 19.2739 Å, c = 4.5378 Å
α = 90.00°, β = 90.00°, γ = 90.00°
Closest atoms and distances in Å follow each position.
Space group Cmcm (No. 63)
Inequivalent atoms, fractional coordinates:
1 Ac 0.0000 0.1102 0.2500  4 Cu 3.36, 10 Au 3.38-3.64
2 Cu 0.0000 0.3246 0.2500  5 Au 2.55-2.66
3 Au 0.0000 0.2528 0.7500  4 Cu 2.61-2.66
4 Au 0.0000 0.4571 0.2500  1 Cu 2.55, 2 Au 2.81

Values from the calculation:
Energy relative to the elements, eV per atom: -0.5589



11.
VASP calculation (GGA-PBE) on an optimized crystal structure of UCl5.

a = 8.6409 Å, b = 11.6021 Å, c = 12.5875 Å
α = 90.00°, β = 132.77°, γ = 90.00°
Closest atoms and distances in Å follow each position.
Space group P2_1/c (No. 14)
Inequivalent atoms, fractional coordinates:
1 U 0.2016 0.1306 0.1529  6 Cl 2.47-2.73
2 Cl 0.0033 0.6246 0.2754  1 U 2.47
3 Cl 0.1670 0.6036 0.6276  2 U 2.73
4 Cl 0.1779 0.1569 0.6345  1 U 2.47
5 Cl 0.3900 0.1239 0.0687  1 U 2.47
6 Cl 0.4614 0.6224 0.0915  1 U 2.47

Values from the calculation:
Formation energy (no corrections), meV per atom: -1618



12.
VASP calculation (GGA-PBE) on an optimized crystal structure of SrDy3Al8.

a = 5.6294 Å, b = 5.6294 Å, c = 9.1908 Å
α = 90.00°, β = 90.00°, γ = 120.00°
Closest atoms and distances in Å follow each position.
Space group P3m1 (No. 156)
Inequivalent atoms, fractional coordinates:
1 Sr 0.0000 0.0000 0.0000  12 Al 3.31-3.37, 4 Dy 3.37-3.48
2 Dy 0.0000 0.0000 0.3665  12 Al 3.25-3.31, 1 Sr 3.37, 3 Dy 3.48
3 Dy 0.6667 0.3333 0.5016  12 Al 3.24-3.31, 4 Dy 3.34-3.48
4 Dy 0.6667 0.3333 0.8654  12 Al 3.31-3.38, 1 Dy 3.34, 3 Sr 3.48
5 Al 0.1625 0.3250 0.6768  6 Al 2.74-2.89
6 Al 0.3333 0.6667 0.4340  6 Al 2.78-2.79
7 Al 0.3333 0.6667 0.9329  6 Al 2.88-2.90
8 Al 0.5051 0.0101 0.1908  6 Al 2.73-2.90

Values from the calculation:
Energy relative to the elements, eV per atom: -0.4186



13.
VASP calculation (GGA-PBE) on an optimized crystal structure of Pm2CdIn2Rh5.

a = 10.2398 Å, b = 10.2398 Å, c = 3.7540 Å
α = 90.00°, β = 90.00°, γ = 90.00°
Closest atoms and distances in Å follow each position.
Space group P4/mbm (No. 127)
Inequivalent atoms, fractional coordinates:
1 Pm 0.1711 0.3289 0.0000  3 In 2.91-3.09, 6 Rh 3.11-3.26
2 Cd 0.0000 0.0000 0.0000  8 Rh 2.84
3 In 0.1281 0.6281 0.0000  6 Rh 2.64-2.67, 1 Pm 2.91
4 Rh 0.0000 0.5000 0.5000  4 In 2.64
5 Rh 0.0549 0.7992 0.5000  2 In 2.67, 2 Cd 2.84

Values from the calculation:
Energy relative to the elements, eV per atom: -0.3720



14.
VASP calculation (GGA-PBE) on an optimized crystal structure of Mn3BeZn.

a = 4.0950 Å, b = 4.0950 Å, c = 4.0950 Å
α = 90.00°, β = 90.00°, γ = 90.00°
Closest atoms and distances in Å follow each position.
Space group Pm-3m (No. 221)
Inequivalent atoms, fractional coordinates:
1 Mn 0.0000 0.0000 0.5000  2 Be 2.05
2 Be 0.0000 0.0000 0.0000  6 Mn 2.05
3 Zn 0.5000 0.5000 0.5000  12 Mn 2.90

Values from the calculation:
Energy relative to the elements, eV per atom: 0.5146



15.
VASP calculation (GGA-PBE) on an optimized crystal structure of CsLiBi2Se4.

a = 4.3249 Å, b = 14.8852 Å, c = 15.1373 Å
α = 90.00°, β = 90.00°, γ = 90.00°
Closest atoms and distances in Å follow each position.
Space group Cmcm (No. 63)
Inequivalent atoms, fractional coordinates:
1 Cs 0.0000 0.1056 0.2500  6 Se 3.53-3.69
2 Li 0.0000 0.1654 0.7500  4 Se 2.50-2.58
3 Bi 0.0000 0.3665 0.0608  6 Se 2.93-3.08
4 Se 0.0000 0.0000 0.0000  4 Bi 3.08
5 Se 0.0000 0.2580 0.6055  1 Li 2.58
6 Se 0.0000 0.4183 0.2500  2 Li 2.50

Values from the calculation:
Formation energy (no corrections), meV per atom: -747



16.
VASP calculation (GGA-PBE) on an optimized crystal structure of Sc5Al2.

a = 14.7081 Å, b = 4.9043 Å, c = 8.4798 Å
α = 90.00°, β = 100.97°, γ = 90.00°
Closest atoms and distances in Å follow each position.
Space group C2/c (No. 15)
Inequivalent atoms, fractional coordinates:
1 Sc 0.0000 0.2492 0.2500  6 Al 3.03, 2 Sc 3.30
2 Sc 0.1334 0.2489 0.9611  4 Al 2.95-3.00, 3 Sc 3.14-3.15
3 Sc 0.2283 0.2522 0.3260  1 Al 2.84, 6 Sc 2.90-3.15
4 Al 0.0747 0.2514 0.6081  8 Sc 2.84-3.03

Values from the calculation:
Energy relative to the elements, eV per atom: -0.2595



17.
VASP calculation (GGA-PBE) on an optimized crystal structure of PaBePt.

a = 4.2521 Å, b = 4.2521 Å, c = 6.7897 Å
α = 90.00°, β = 90.00°, γ = 120.00°
Closest atoms and distances in Å follow each position.
Space group P6_3/mmc (No. 194)
Inequivalent atoms, fractional coordinates:
1 Pa 0.0000 0.0000 0.0000  6 Be 2.98, 6 Pt 2.98
2 Be 0.3333 0.6667 0.2500  3 Pt 2.45
3 Pt 0.3333 0.6667 0.7500  3 Be 2.45

Values from the calculation:
Energy relative to the elements, eV per atom: -0.6805



18.
VASP calculation (GGA-PBE) on an optimized crystal structure of Na2LiHoCl6.

a = 6.9006 Å, b = 6.9006 Å, c = 18.3529 Å
α = 90.00°, β = 90.00°, γ = 120.00°
Closest atoms and distances in Å follow each position.
Space group R3 (No. 146, hexagonal axes)
Inequivalent atoms, fractional coordinates:
1 Na 0.0000 0.0000 0.0000  6 Cl 2.81-2.88
2 Na 0.0000 0.0000 0.4939  6 Cl 2.78-2.95
3 Li 0.0000 0.0000 0.2097  3 Cl 2.54
4 Ho 0.0000 0.0000 0.6970  6 Cl 2.62-2.67
5 Cl 0.0474 0.3422 0.7731  1 Ho 2.62, 2 Na 2.78-2.88, 1 Li 2.84
6 Cl 0.0482 0.7007 0.2735  1 Li 2.54, 1 Ho 2.67, 1 Na 2.81

Values from the calculation:
Formation energy (no corrections), meV per atom: -1995



19.
VASP calculation (GGA-PBE) on an optimized crystal structure of Dy2Sc2Pb2C.

a = 4.5723 Å, b = 4.5723 Å, c = 15.9077 Å
α = 90.00°, β = 90.00°, γ = 90.00°
Closest atoms and distances in Å follow each position.
Space group I4/mmm (No. 139)
Inequivalent atoms, fractional coordinates:
1 Dy 0.0000 0.0000 0.1565  1 C 2.49
2 Sc 0.0000 0.5000 0.0000  2 C 2.29
3 Pb 0.0000 0.0000 0.3620  4 Sc 3.17, 5 Dy 3.25-3.27
4 C 0.0000 0.0000 0.0000  4 Sc 2.29, 2 Dy 2.49

Values from the calculation:
Energy relative to the elements, eV per atom: -0.6806



20.
VASP calculation (GGA-PBE) on an optimized crystal structure of RuCl3.

a = 8.5196 Å, b = 8.5196 Å, c = 4.8866 Å
α = 90.00°, β = 90.00°, γ = 90.00°
Closest atoms and distances in Å follow each position.
Space group I-42d (No. 122)
Inequivalent atoms, fractional coordinates:
1 Ru 0.0000 0.0000 0.0000  6 Cl 2.41-2.44
2 Cl 0.0000 0.0000 0.5000  2 Ru 2.44
3 Cl 0.1124 0.7500 0.1250  2 Ru 2.41

Values from the calculation:
Formation energy (no corrections), meV per atom: -128



For each record above, in turn, the calculated energy values are -3.11 -4.00 -5.27 -7.64 -5.95 -5.89 -3.99 -2.68 -7.15 -4.25 -5.04 -4.20 -5.64 -5.99 -3.81 -5.85 -7.10 -4.02 -6.18 -3.83 eV per atom.